Record 1
Density functional theory data (PBE) for a geometry-optimized GdErSi2 structure. Values from VASP.

Quantum ESPRESSO input file:
```
&SYSTEM
  ibrav = 0, nat = 8, ntyp = 3
/
ATOMIC_SPECIES
Gd 157.25 Gd.upf
Er 167.26 Er.upf
Si 28.09 Si.upf
CELL_PARAMETERS angstrom
5.6997 0.0000 0.0000
0.0000 3.8346 0.0000
-0.0368 0.0000 7.9141
ATOMIC_POSITIONS crystal
Gd 0.1147 0.2500 0.1797
Gd 0.8853 0.7500 0.8203
Er 0.3851 0.2500 0.6788
Er 0.6149 0.7500 0.3212
Si 0.1302 0.7500 0.4631
Si 0.3723 0.7500 0.9610
Si 0.6277 0.2500 0.0390
Si 0.8698 0.2500 0.5369
```

## Properties
crystal system = monoclinic
symmetry = P2_1/m (11)
ρ = 7.3 g cm⁻³
uncorrected energy = -0.2146 Ha/atom

Record 2
Density functional theory data (PBE) for a geometry-optimized Gd3ErSi4 structure. Values from VASP.

Quantum ESPRESSO input file:
```
&SYSTEM
  ibrav = 0, nat = 8, ntyp = 3
/
ATOMIC_SPECIES
Gd 157.25 Gd.upf
Er 167.26 Er.upf
Si 28.09 Si.upf
CELL_PARAMETERS angstrom
5.7295 0.0000 0.0000
0.0000 3.8479 0.0000
-0.0200 0.0000 7.9632
ATOMIC_POSITIONS crystal
Gd 0.0000 0.0000 0.0000
Gd 0.2296 0.5000 0.3593
Gd 0.5005 0.5000 0.8579
Er 0.7302 0.0000 0.4997
Si 0.2424 0.0000 0.6406
Si 0.4875 0.0000 0.1430
Si 0.7418 0.5000 0.2193
Si 0.9855 0.5000 0.7147
```

## Properties
crystal system = monoclinic
symmetry = Pm (6)
ρ = 7.1 g cm⁻³
uncorrected energy = -0.2151 Ha/atom

Record 3
Density functional theory data (PBE) for a geometry-optimized GdEr3Si4 structure. Values from VASP.

Quantum ESPRESSO input file:
```
&SYSTEM
  ibrav = 0, nat = 8, ntyp = 3
/
ATOMIC_SPECIES
Gd 157.25 Gd.upf
Er 167.26 Er.upf
Si 28.09 Si.upf
CELL_PARAMETERS angstrom
5.6696 0.0000 0.0000
0.0000 3.8219 0.0000
-0.0183 0.0000 7.8659
ATOMIC_POSITIONS crystal
Gd 0.0000 0.0000 0.0000
Er 0.2710 0.0000 0.5003
Er 0.5006 0.5000 0.1425
Er 0.7707 0.5000 0.6412
Si 0.0166 0.5000 0.2851
Si 0.2572 0.5000 0.7806
Si 0.5159 0.0000 0.8583
Si 0.7553 0.0000 0.3607
```

## Properties
crystal system = monoclinic
symmetry = Pm (6)
ρ = 7.5 g cm⁻³
uncorrected energy = -0.2142 Ha/atom

Record 4
Density functional theory data (PBE) for a geometry-optimized GdErSi2 structure. Values from VASP.

Quantum ESPRESSO input file:
```
&SYSTEM
  ibrav = 0, nat = 8, ntyp = 3
/
ATOMIC_SPECIES
Gd 157.25 Gd.upf
Er 167.26 Er.upf
Si 28.09 Si.upf
CELL_PARAMETERS angstrom
3.8376 0.0000 0.0000
0.0000 5.7041 0.0000
0.0000 0.0000 7.9128
ATOMIC_POSITIONS crystal
Gd 0.0000 0.1352 0.0000
Gd 0.0000 0.8648 0.5000
Er 0.5000 0.3652 0.6418
Er 0.5000 0.6348 0.1418
Si 0.0000 0.3791 0.3590
Si 0.0000 0.6209 0.8590
Si 0.5000 0.1214 0.2830
Si 0.5000 0.8786 0.7830
```

## Properties
crystal system = orthorhombic
symmetry = Pmc2_1 (26)
ρ = 7.3 g cm⁻³
uncorrected energy = -0.2146 Ha/atom

Record 5
Density functional theory data (PBE) for a geometry-optimized GdErSi2 structure. Values from VASP.

Quantum ESPRESSO input file:
```
&SYSTEM
  ibrav = 0, nat = 8, ntyp = 3
/
ATOMIC_SPECIES
Gd 157.25 Gd.upf
Er 167.26 Er.upf
Si 28.09 Si.upf
CELL_PARAMETERS angstrom
3.8346 0.0000 0.0000
0.0000 7.9142 0.0000
0.0000 0.0000 5.6986
ATOMIC_POSITIONS crystal
Gd 0.0000 0.0717 0.0000
Gd 0.5000 0.9283 0.5000
Er 0.0000 0.5698 0.2704
Er 0.5000 0.4302 0.7704
Si 0.0000 0.2157 0.5157
Si 0.0000 0.7084 0.7578
Si 0.5000 0.2916 0.2578
Si 0.5000 0.7843 0.0157
```

## Properties
crystal system = orthorhombic
symmetry = Pmn2_1 (31)
ρ = 7.3 g cm⁻³
uncorrected energy = -0.2147 Ha/atom

Record 6
Density functional theory data (PBE) for a geometry-optimized GdErSi structure. Values from VASP.

Quantum ESPRESSO input file:
```
&SYSTEM
  ibrav = 0, nat = 3, ntyp = 3
/
ATOMIC_SPECIES
Gd 157.25 Gd.upf
Er 167.26 Er.upf
Si 28.09 Si.upf
CELL_PARAMETERS angstrom
0.0000 3.4232 3.4232
3.4232 0.0000 3.4232
3.4232 3.4232 0.0000
ATOMIC_POSITIONS crystal
Gd 0.0000 0.0000 0.0000
Er 0.5000 0.5000 0.5000
Si 0.7500 0.7500 0.7500
```

## Properties
crystal system = cubic
energy above the most stable polymorph in this dataset = 0.000 eV/atom
symmetry = F-43m (216)
ρ = 7.3 g cm⁻³
uncorrected energy = -0.1964 Ha/atom

Record 7
Density functional theory data (PBE) for a geometry-optimized GdErTa2Si2 structure. Values from VASP.

Quantum ESPRESSO input file:
```
&SYSTEM
  ibrav = 0, nat = 6, ntyp = 4
/
ATOMIC_SPECIES
Gd 157.25 Gd.upf
Er 167.26 Er.upf
Ta 180.95 Ta.upf
Si 28.09 Si.upf
CELL_PARAMETERS angstrom
3.9978 0.0000 0.0000
0.0000 3.9978 0.0000
0.0000 0.0000 7.7703
ATOMIC_POSITIONS crystal
Gd 0.0000 0.0000 0.0000
Er 0.5000 0.5000 0.7063
Ta 0.0000 0.5000 0.3567
Ta 0.5000 0.0000 0.3567
Si 0.0000 0.0000 0.5960
Si 0.5000 0.5000 0.1174
```

## Properties
crystal system = tetragonal
symmetry = P4mm (99)
ρ = 9.9 g cm⁻³
uncorrected energy = -0.2900 Ha/atom

Record 8
Density functional theory data (PBE) for a geometry-optimized SmGdEr2Tl2 structure. Values from VASP.

Quantum ESPRESSO input file:
```
&SYSTEM
  ibrav = 0, nat = 6, ntyp = 4
/
ATOMIC_SPECIES
Sm 150.36 Sm.upf
Gd 157.25 Gd.upf
Er 167.26 Er.upf
Tl 204.38 Tl.upf
CELL_PARAMETERS angstrom
5.4218 0.0000 0.0000
-2.7109 4.6954 0.0000
0.0000 0.0000 6.7097
ATOMIC_POSITIONS crystal
Sm 0.0000 0.0000 0.0000
Gd 0.3333 0.6667 0.5000
Er 0.6667 0.3333 0.2523
Er 0.6667 0.3333 0.7477
Tl 0.0000 0.0000 0.5000
Tl 0.3333 0.6667 0.0000
```

## Properties
crystal system = hexagonal
symmetry = P-6m2 (187)
ρ = 10.2 g cm⁻³
uncorrected energy = -0.1515 Ha/atom

Record 9
Density functional theory data (PBE) for a geometry-optimized SmGdErTmTl2 structure. Values from VASP.

Quantum ESPRESSO input file:
```
&SYSTEM
  ibrav = 0, nat = 6, ntyp = 5
/
ATOMIC_SPECIES
Sm 150.36 Sm.upf
Gd 157.25 Gd.upf
Er 167.26 Er.upf
Tm 168.93 Tm.upf
Tl 204.38 Tl.upf
CELL_PARAMETERS angstrom
5.4015 0.0000 0.0000
-2.7008 4.6778 0.0000
0.0000 0.0000 6.7447
ATOMIC_POSITIONS crystal
Sm 0.0000 0.0000 0.0000
Gd 0.6667 0.3333 0.2595
Er 0.6667 0.3333 0.7459
Tm 0.3333 0.6667 0.5055
Tl 0.0000 0.0000 0.5036
Tl 0.3333 0.6667 0.0011
```

## Properties
crystal system = trigonal
symmetry = P3m1 (156)
ρ = 10.3 g cm⁻³
uncorrected energy = -0.1510 Ha/atom

Record 10
Density functional theory data (PBE) for a geometry-optimized SrGdEr structure. Values from VASP.

Quantum ESPRESSO input file:
```
&SYSTEM
  ibrav = 0, nat = 3, ntyp = 3
/
ATOMIC_SPECIES
Sr 87.62 Sr.upf
Gd 157.25 Gd.upf
Er 167.26 Er.upf
CELL_PARAMETERS angstrom
0.0000 4.0492 4.0492
4.0492 0.0000 4.0492
4.0492 4.0492 0.0000
ATOMIC_POSITIONS crystal
Sr 0.0000 0.0000 0.0000
Gd 0.5000 0.5000 0.5000
Er 0.7500 0.7500 0.7500
```

## Properties
crystal system = cubic
symmetry = F-43m (216)
ρ = 5.2 g cm⁻³
uncorrected energy = -0.1039 Ha/atom

Record 11
Density functional theory data (PBE) for a geometry-optimized GdErTa structure. Values from VASP.

Quantum ESPRESSO input file:
```
&SYSTEM
  ibrav = 0, nat = 3, ntyp = 3
/
ATOMIC_SPECIES
Gd 157.25 Gd.upf
Er 167.26 Er.upf
Ta 180.95 Ta.upf
CELL_PARAMETERS angstrom
0.0000 3.5325 3.5325
3.5325 0.0000 3.5325
3.5325 3.5325 0.0000
ATOMIC_POSITIONS crystal
Gd 0.0000 0.0000 0.0000
Er 0.2500 0.2500 0.2500
Ta 0.5000 0.5000 0.5000
```

## Properties
crystal system = cubic
symmetry = F-43m (216)
ρ = 9.5 g cm⁻³
uncorrected energy = -0.2109 Ha/atom
formation energy from the elements = 371 kJ/mol of formula units

Record 12
Density functional theory data (PBE) for a geometry-optimized GdErTc structure. Values from VASP.

Quantum ESPRESSO input file:
```
&SYSTEM
  ibrav = 0, nat = 3, ntyp = 3
/
ATOMIC_SPECIES
Gd 157.25 Gd.upf
Er 167.26 Er.upf
Tc 98.00 Tc.upf
CELL_PARAMETERS angstrom
0.0000 3.3651 3.3651
3.3651 0.0000 3.3651
3.3651 3.3651 0.0000
ATOMIC_POSITIONS crystal
Gd 0.0000 0.0000 0.0000
Er 0.7500 0.7500 0.7500
Tc 0.2500 0.2500 0.2500
```

## Properties
crystal system = cubic
symmetry = F-43m (216)
ρ = 9.2 g cm⁻³
uncorrected energy = -0.2042 Ha/atom
formation energy from the elements = 281 kJ/mol of formula units

Record 13
Density functional theory data (PBE) for a geometry-optimized GdErTe structure. Values from VASP.

Quantum ESPRESSO input file:
```
&SYSTEM
  ibrav = 0, nat = 3, ntyp = 3
/
ATOMIC_SPECIES
Gd 157.25 Gd.upf
Er 167.26 Er.upf
Te 127.60 Te.upf
CELL_PARAMETERS angstrom
0.0000 3.5719 3.5719
3.5719 0.0000 3.5719
3.5719 3.5719 0.0000
ATOMIC_POSITIONS crystal
Gd 0.0000 0.0000 0.0000
Er 0.5000 0.5000 0.5000
Te 0.7500 0.7500 0.7500
```

## Properties
crystal system = cubic
energy above the most stable polymorph in this dataset = 0.000 eV/atom
symmetry = F-43m (216)
ρ = 8.2 g cm⁻³
uncorrected energy = -0.1688 Ha/atom

Record 14
Density functional theory data (PBE) for a geometry-optimized GdErTl structure. Values from VASP.

Quantum ESPRESSO input file:
```
&SYSTEM
  ibrav = 0, nat = 3, ntyp = 3
/
ATOMIC_SPECIES
Gd 157.25 Gd.upf
Er 167.26 Er.upf
Tl 204.38 Tl.upf
CELL_PARAMETERS angstrom
0.0000 3.6498 3.6498
3.6498 0.0000 3.6498
3.6498 3.6498 0.0000
ATOMIC_POSITIONS crystal
Gd 0.0000 0.0000 0.0000
Er 0.5000 0.5000 0.5000
Tl 0.7500 0.7500 0.7500
```

## Properties
crystal system = cubic
energy above the most stable polymorph in this dataset = 0.000 eV/atom
symmetry = F-43m (216)
ρ = 9.0 g cm⁻³
uncorrected energy = -0.1432 Ha/atom

Record 15
Density functional theory data (PBE) for a geometry-optimized GdErTm2 structure. Values from VASP.

Quantum ESPRESSO input file:
```
&SYSTEM
  ibrav = 0, nat = 8, ntyp = 3
/
ATOMIC_SPECIES
Gd 157.25 Gd.upf
Er 167.26 Er.upf
Tm 168.93 Tm.upf
CELL_PARAMETERS angstrom
5.5782 0.0000 0.0000
0.0000 6.1783 3.5668
0.0000 -6.1783 3.5668
ATOMIC_POSITIONS crystal
Gd 0.2500 0.1667 0.8333
Gd 0.7500 0.8333 0.1667
Er 0.2500 0.6657 0.8315
Er 0.7500 0.8315 0.6657
Tm 0.2500 0.1685 0.3343
Tm 0.2500 0.6658 0.3343
Tm 0.7500 0.3343 0.1685
Tm 0.7500 0.3343 0.6658
```

## Properties
crystal system = orthorhombic
symmetry = Ama2 (40)
ρ = 8.9 g cm⁻³
uncorrected energy = -0.1668 Ha/atom
formation energy from the elements = 2 kJ/mol of formula units

Record 16
Density functional theory data (PBE) for a geometry-optimized Gd2ErTm structure. Values from VASP.

Quantum ESPRESSO input file:
```
&SYSTEM
  ibrav = 0, nat = 8, ntyp = 3
/
ATOMIC_SPECIES
Gd 157.25 Gd.upf
Er 167.26 Er.upf
Tm 168.93 Tm.upf
CELL_PARAMETERS angstrom
3.5985 -6.2222 0.0000
3.5985 6.2222 0.0000
0.0000 0.0000 5.6180
ATOMIC_POSITIONS crystal
Gd 0.1665 0.3341 0.2500
Gd 0.3341 0.1665 0.7500
Gd 0.6659 0.8335 0.2500
Gd 0.8335 0.6659 0.7500
Er 0.1673 0.8327 0.2500
Er 0.8327 0.1673 0.7500
Tm 0.3330 0.6670 0.7500
Tm 0.6670 0.3330 0.2500
```

## Properties
crystal system = orthorhombic
energy above the most stable polymorph in this dataset = 0.000 eV/atom
symmetry = Cmcm (63)
ρ = 8.6 g cm⁻³
uncorrected energy = -0.1683 Ha/atom
formation energy from the elements = 3 kJ/mol of formula units

Record 17
Density functional theory data (PBE) for a geometry-optimized Gd3Er2Tm3 structure. Values from VASP.

Quantum ESPRESSO input file:
```
&SYSTEM
  ibrav = 0, nat = 8, ntyp = 3
/
ATOMIC_SPECIES
Gd 157.25 Gd.upf
Er 167.26 Er.upf
Tm 168.93 Tm.upf
CELL_PARAMETERS angstrom
5.5931 0.0000 0.0000
0.0000 3.5837 6.2065
0.0000 -3.5837 6.2065
ATOMIC_POSITIONS crystal
Gd 0.0000 0.0000 0.0000
Gd 0.5000 0.3331 0.8327
Gd 0.5000 0.8327 0.3331
Er 0.0000 0.5005 0.5005
Er 0.5000 0.8335 0.8335
Tm 0.0000 0.5006 0.9992
Tm 0.0000 0.9992 0.5006
Tm 0.5000 0.3337 0.3337
```

## Properties
crystal system = orthorhombic
symmetry = Amm2 (38)
ρ = 8.8 g cm⁻³
uncorrected energy = -0.1674 Ha/atom
formation energy from the elements = 7 kJ/mol of formula units

Record 18
Density functional theory data (PBE) for a geometry-optimized GdEr2Tm structure. Values from VASP.

Quantum ESPRESSO input file:
```
&SYSTEM
  ibrav = 0, nat = 8, ntyp = 3
/
ATOMIC_SPECIES
Gd 157.25 Gd.upf
Er 167.26 Er.upf
Tm 168.93 Tm.upf
CELL_PARAMETERS angstrom
3.5715 -6.1870 0.0000
3.5715 6.1870 0.0000
0.0000 0.0000 5.5874
ATOMIC_POSITIONS crystal
Gd 0.1667 0.8333 0.7500
Gd 0.8333 0.1667 0.2500
Er 0.1685 0.3343 0.7500
Er 0.3343 0.1685 0.2500
Er 0.6657 0.8315 0.7500
Er 0.8315 0.6657 0.2500
Tm 0.3342 0.6658 0.2500
Tm 0.6658 0.3342 0.7500
```

## Properties
crystal system = orthorhombic
symmetry = Cmcm (63)
ρ = 8.9 g cm⁻³
uncorrected energy = -0.1676 Ha/atom
formation energy from the elements = 2 kJ/mol of formula units

Record 19
Density functional theory data (PBE) for a geometry-optimized Gd2Er3Tm3 structure. Values from VASP.

Quantum ESPRESSO input file:
```
&SYSTEM
  ibrav = 0, nat = 8, ntyp = 3
/
ATOMIC_SPECIES
Gd 157.25 Gd.upf
Er 167.26 Er.upf
Tm 168.93 Tm.upf
CELL_PARAMETERS angstrom
7.1402 0.0000 0.0000
-3.5701 6.1836 0.0000
0.0000 0.0000 5.5837
ATOMIC_POSITIONS crystal
Gd 0.0000 0.0000 0.0000
Gd 0.3333 0.6667 0.5000
Er 0.5009 0.0018 0.0000
Er 0.5009 0.4991 0.0000
Er 0.9982 0.4991 0.0000
Tm 0.3352 0.1676 0.5000
Tm 0.8324 0.1676 0.5000
Tm 0.8324 0.6648 0.5000
```

## Properties
crystal system = hexagonal
symmetry = P-6m2 (187)
ρ = 8.9 g cm⁻³
uncorrected energy = -0.1672 Ha/atom
formation energy from the elements = 3 kJ/mol of formula units

Record 20
Density functional theory data (PBE) for a geometry-optimized GdEr6Tm structure. Values from VASP.

Quantum ESPRESSO input file:
```
&SYSTEM
  ibrav = 0, nat = 8, ntyp = 3
/
ATOMIC_SPECIES
Gd 157.25 Gd.upf
Er 167.26 Er.upf
Tm 168.93 Tm.upf
CELL_PARAMETERS angstrom
7.1455 0.0000 0.0000
-3.5728 6.1882 0.0000
0.0000 0.0000 5.5560
ATOMIC_POSITIONS crystal
Gd 0.0000 0.0000 0.0000
Er 0.0021 0.5011 0.0000
Er 0.1677 0.3354 0.5000
Er 0.1677 0.8323 0.5000
Er 0.4989 0.5011 0.0000
Er 0.4989 0.9979 0.0000
Er 0.6646 0.8323 0.5000
Tm 0.6667 0.3333 0.5000
```

## Properties
crystal system = hexagonal
symmetry = P-6m2 (187)
ρ = 9.0 g cm⁻³
uncorrected energy = -0.1676 Ha/atom
formation energy from the elements = 2 kJ/mol of formula units